## HfInFeRu (PBE)

Data for a relaxed structure of HfInFeRu.

a b c (Å): 6.3746 6.3746 6.3746
angles (deg): 90.00 90.00 90.00
Fractional coordinates of all 16 atoms:
Hf: 0.0000 0.0000 0.0000
Hf: 0.0000 0.5000 0.5000
Hf: 0.5000 0.0000 0.5000
Hf: 0.5000 0.5000 0.0000
In: 0.0000 0.0000 0.5000
In: 0.0000 0.5000 0.0000
In: 0.5000 0.0000 0.0000
In: 0.5000 0.5000 0.5000
Fe: 0.2500 0.2500 0.2500
Fe: 0.2500 0.7500 0.7500
Fe: 0.7500 0.2500 0.7500
Fe: 0.7500 0.7500 0.2500
Ru: 0.2500 0.2500 0.7500
Ru: 0.2500 0.7500 0.2500
Ru: 0.7500 0.2500 0.2500
Ru: 0.7500 0.7500 0.7500

Magnetization (Bohr magnetons per cell): 3.4
Calculated volume (Å³ per cell): 259
Energy of formation (eV/atom): -0.22